Record 1
Below is a relaxed structure of SrPaNi2Sb2, with properties calculated at the PBE-GGA level.

Unit cell a=4.3002 b=4.3002 c=8.7205 alpha=90.00 beta=90.00 gamma=120.00
Space group P-3m1 (No. 164)
Asymmetric unit:
Sr 0.0000 0.0000 0.0000
Pa 0.0000 0.0000 0.5000
Ni 0.3333 0.6667 0.3212
Sb 0.3333 0.6667 0.7405

Summary:
The uncorrected formation energy is -0.69 eV/atom. Its total energy is -0.430 Ry per atom.


Record 2
Below is a relaxed structure of ThPa2Ni2Sb2, with properties calculated at the PBE-GGA level.

Unit cell a=4.2626 b=4.2626 c=29.3395 alpha=90.00 beta=90.00 gamma=120.00
Space group R-3m (No. 166, hexagonal axes)
Asymmetric unit:
Th 0.0000 0.0000 0.0000
Pa 0.0000 0.0000 0.1411
Ni 0.0000 0.0000 0.4211
Sb 0.0000 0.0000 0.2646

Summary:
The uncorrected formation energy is -0.35 eV/atom. Its total energy is -0.511 Ry per atom.


Record 3
Below is a relaxed structure of ScPaNi2, with properties calculated at the PBE-GGA level.

Unit cell a=3.144 b=3.144 c=6.921 alpha=90.00 beta=90.00 gamma=90.00
Space group P4/mmm (No. 123)
Asymmetric unit:
Sc 0.000 0.000 0.000
Pa 0.000 0.000 0.500
Ni 0.500 0.500 0.227

Summary:
The calculation puts the energy above the most stable polymorph in this dataset at 0.100 eV/atom. The calculation puts the formation energy at -0.347 eV/atom. Its total energy is -0.529 Ry per atom.


Record 4
Below is a relaxed structure of ScPaNi4, with properties calculated at the PBE-GGA level.

Unit cell a=7.043 b=7.043 c=7.043 alpha=90.00 beta=90.00 gamma=90.00
Space group F-43m (No. 216)
Asymmetric unit:
Sc 0.000 0.000 0.000
Pa 0.250 0.250 0.250
Ni 0.126 0.126 0.626

Summary:
The calculation puts the formation energy at -0.425 eV/atom. Its total energy is -0.508 Ry per atom.


| no. | calculated density (Mg/m³) | calculated volume (A^3/atom) |
| --- | --- | --- |
| 1 | 8.08 | 23.276 |
| 2 | 11.38 | 21.985 |
| 3 | 9.55 | 17.104 |
| 4 | 9.71 | 14.557 |